The following is a DFT calculation (PBE-GGA) of crystalline Cu2Ge2O at its relaxed geometry.

Total magnetization   0.0 μB per formula unit
E   -4.38 eV per atom
Calculated volume   145.19 Å³ per cell
ΔE_f (raw)   0.47 eV per formula unit
Energy above the most stable polymorph in this dataset   0.0000 eV/atom

POSCAR file:
```
Cu2Ge2O
1.0
6.077 0.000 0.000
0.000 6.077 0.000
0.000 0.000 3.932
Cu O Ge
4 2 4
Direct
0.637 0.863 0.500
0.363 0.137 0.500
0.137 0.637 0.500
0.863 0.363 0.500
0.000 0.000 0.000
0.500 0.500 0.000
0.185 0.315 0.000
0.315 0.815 0.000
0.685 0.185 0.000
0.815 0.685 0.000
```

---

The following is a DFT calculation (PBE-GGA) of crystalline Cu2GeO at its relaxed geometry.

Total magnetization   0.0 μB per formula unit
E   -4.56 eV per atom
Calculated volume   116.38 Å³ per cell
ΔE_f (raw)   -0.47 eV per formula unit
Energy above the most stable polymorph in this dataset   0.0000 eV/atom

POSCAR file:
```
Cu2GeO
1.0
5.465 0.000 0.000
0.000 5.465 0.000
2.732 2.732 3.897
O Ge Cu
2 2 4
Direct
0.250 0.750 0.500
0.500 0.500 0.000
0.000 0.000 0.000
0.750 0.250 0.500
0.875 0.805 0.750
0.555 0.125 0.250
0.375 0.445 0.750
0.195 0.625 0.250
```

---

The following is a DFT calculation (PBE-GGA) of crystalline CuGe2O at its relaxed geometry.

Total magnetization   0.0 μB per formula unit
E   -4.74 eV per atom
Calculated volume   137.21 Å³ per cell
ΔE_f (raw)   -0.66 eV per formula unit

POSCAR file:
```
CuGe2O
1.0
5.058 0.000 0.000
0.000 5.058 0.000
2.529 2.529 5.362
Ge Cu O
4 2 2
Direct
0.171 0.625 0.250
0.875 0.829 0.750
0.579 0.125 0.250
0.375 0.421 0.750
0.750 0.250 0.500
0.000 0.000 0.000
0.500 0.500 0.000
0.250 0.750 0.500
```

---

The following is a DFT calculation (PBE-GGA) of crystalline CuGe4O8 at its relaxed geometry.

Total magnetization   0.0 μB per formula unit
E   -6.03 eV per atom
Calculated volume   152.50 Å³ per cell
ΔE_f (raw)   -16.12 eV per formula unit

POSCAR file:
```
CuGe4O8
1.0
5.997 0.000 0.000
2.998 5.193 0.000
2.998 1.731 4.896
Ge O Cu
4 8 1
Direct
0.373 0.373 0.882
0.882 0.373 0.373
0.373 0.882 0.373
0.373 0.373 0.373
0.141 0.141 0.577
0.610 0.171 0.610
0.141 0.577 0.141
0.610 0.610 0.610
0.577 0.141 0.141
0.141 0.141 0.141
0.610 0.610 0.171
0.171 0.610 0.610
0.750 0.750 0.750
```

---

The following is a DFT calculation (PBE-GGA) of crystalline Cu3GeP2O10 at its relaxed geometry.

Total magnetization   2.7 μB per formula unit
E   -6.28 eV per atom
Calculated volume   378.41 Å³ per cell
ΔE_f (raw)   -23.19 eV per formula unit

POSCAR file:
```
Cu3GeP2O10
1.0
-4.455 0.778 -1.444
-2.874 -4.850 6.253
1.921 7.157 6.434
O Cu Ge P
20 6 2 4
Direct
0.261 0.400 0.542
0.176 0.901 0.860
0.739 0.900 0.458
0.176 0.599 0.860
0.388 0.574 0.171
0.824 0.099 0.140
0.204 0.750 0.568
0.292 0.250 0.251
0.739 0.600 0.458
0.992 0.750 0.301
0.901 0.750 0.012
0.612 0.074 0.829
0.388 0.926 0.171
0.612 0.426 0.829
0.261 0.100 0.542
0.099 0.250 0.988
0.708 0.750 0.749
0.008 0.250 0.699
0.796 0.250 0.432
0.824 0.401 0.140
0.500 0.000 0.000
0.564 0.434 0.328
0.436 0.566 0.672
0.564 0.066 0.328
0.436 0.934 0.672
0.500 0.500 0.000
0.806 0.250 0.825
0.194 0.750 0.175
0.086 0.250 0.553
0.999 0.750 0.867
0.914 0.750 0.447
0.001 0.250 0.133
```

---

The following is a DFT calculation (PBE-GGA) of crystalline PaCuGeO5 at its relaxed geometry.

Total magnetization   0.1 μB per formula unit
E   -7.59 eV per atom
Calculated volume   253.37 Å³ per cell
ΔE_f (raw)   -17.70 eV per formula unit

POSCAR file:
```
PaCuGeO5
1.0
-3.045 3.292 3.886
-0.674 -4.798 3.425
8.093 2.397 -0.446
Cu Ge O Pa
2 2 10 2
Direct
0.300 0.700 0.250
0.700 0.300 0.750
0.636 0.364 0.250
0.364 0.636 0.750
0.319 0.308 0.663
0.769 0.253 0.424
0.923 0.077 0.750
0.681 0.692 0.337
0.747 0.231 0.076
0.308 0.319 0.163
0.253 0.769 0.924
0.077 0.923 0.250
0.231 0.747 0.576
0.692 0.681 0.837
0.000 0.000 0.000
0.000 0.000 0.500
```

---

The following is a DFT calculation (PBE-GGA) of crystalline PaCu2GeO6 at its relaxed geometry.

Total magnetization   0.1 μB per formula unit
E   -6.83 eV per atom
Calculated volume   141.83 Å³ per cell
ΔE_f (raw)   -16.26 eV per formula unit

POSCAR file:
```
PaCu2GeO6
1.0
-3.559 1.760 -1.439
-3.119 -3.778 3.095
0.003 3.671 4.484
Cu O Ge Pa
2 6 1 1
Direct
0.831 0.500 0.000
0.831 0.000 0.500
0.752 0.230 0.770
0.752 0.770 0.230
0.204 0.500 0.500
0.752 0.770 0.770
0.752 0.230 0.230
0.237 0.000 0.000
0.642 0.000 0.000
0.693 0.500 0.500
```

---

The following is a DFT calculation (PBE-GGA) of crystalline CuGe5Pb3O14 at its relaxed geometry.

Total magnetization   1.0 μB per formula unit
E   -6.14 eV per atom
Calculated volume   656.47 Å³ per cell
ΔE_f (raw)   -33.46 eV per formula unit

POSCAR file:
```
CuGe5Pb3O14
1.0
8.249 0.000 0.000
4.125 9.108 0.002
4.125 3.173 8.738
Ge O Cu Pb
10 28 2 6
Direct
0.219 0.250 0.750
0.157 0.192 0.133
0.831 0.408 0.346
0.169 0.592 0.654
0.482 0.308 0.367
0.781 0.750 0.250
0.843 0.808 0.867
0.585 0.092 0.154
0.518 0.692 0.633
0.415 0.908 0.846
0.623 0.779 0.913
0.669 0.596 0.296
0.099 0.230 0.968
0.004 0.367 0.181
0.122 0.021 0.283
0.314 0.721 0.587
0.901 0.770 0.032
0.753 0.167 0.986
0.686 0.279 0.413
0.574 0.521 0.783
0.331 0.404 0.704
0.426 0.479 0.217
0.878 0.979 0.717
0.439 0.096 0.796
0.561 0.904 0.204
0.992 0.583 0.289
0.551 0.133 0.319
0.906 0.333 0.514
0.703 0.730 0.468
0.377 0.221 0.087
0.297 0.270 0.532
0.864 0.917 0.211
0.247 0.833 0.014
0.008 0.417 0.711
0.094 0.667 0.486
0.996 0.633 0.819
0.136 0.083 0.789
0.449 0.867 0.681
0.000 0.500 0.500
0.000 0.000 0.000
0.157 0.064 0.563
0.350 0.750 0.250
0.843 0.936 0.437
0.650 0.250 0.750
0.783 0.436 0.937
0.217 0.564 0.063
```

---

The following is a DFT calculation (PBE-GGA) of crystalline CuGePbO4 at its relaxed geometry.

Total magnetization   1.0 μB per formula unit
E   -5.70 eV per atom
Calculated volume   223.23 Å³ per cell
ΔE_f (raw)   -7.62 eV per formula unit

POSCAR file:
```
CuGePbO4
1.0
-1.340 5.784 -3.789
1.468 -2.641 -4.550
-5.280 -2.617 -0.184
O Ge Cu Pb
8 2 2 2
Direct
0.392 0.750 0.107
0.510 0.250 0.367
0.864 0.015 0.639
0.608 0.250 0.893
0.490 0.750 0.633
0.136 0.515 0.361
0.136 0.985 0.361
0.864 0.485 0.639
0.325 0.750 0.381
0.675 0.250 0.619
0.958 0.750 0.473
0.042 0.250 0.527
0.313 0.250 0.033
0.687 0.750 0.967
```

---

The following is a DFT calculation (PBE-GGA) of crystalline CuGe2PbO6 at its relaxed geometry.

Total magnetization   1.0 μB per formula unit
E   -5.94 eV per atom
Calculated volume   299.94 Å³ per cell
ΔE_f (raw)   -12.58 eV per formula unit

POSCAR file:
```
CuGe2PbO6
1.0
5.816 -0.008 -0.008
1.853 7.179 0.081
1.853 -0.185 7.177
Pb Ge O Cu
2 4 12 2
Direct
0.750 0.112 0.888
0.250 0.888 0.112
0.810 0.616 0.781
0.310 0.781 0.616
0.190 0.384 0.219
0.690 0.219 0.384
0.944 0.318 0.386
0.419 0.839 0.383
0.081 0.617 0.161
0.919 0.383 0.839
0.197 0.972 0.774
0.303 0.226 0.028
0.056 0.682 0.614
0.444 0.386 0.318
0.556 0.614 0.682
0.697 0.774 0.972
0.803 0.028 0.226
0.581 0.161 0.617
0.750 0.746 0.254
0.250 0.254 0.746
```

---

The following is a DFT calculation (PBE-GGA) of crystalline Cu2GePbO4 at its relaxed geometry.

Total magnetization   0.0 μB per formula unit
E   -5.51 eV per atom
Calculated volume   107.39 Å³ per cell
ΔE_f (raw)   -7.70 eV per formula unit

POSCAR file:
```
Cu2GePbO4
1.0
5.497 -0.001 0.000
-0.457 5.478 0.000
-2.520 -2.739 3.566
Cu Ge O Pb
2 1 4 1
Direct
0.716 0.216 0.432
0.216 0.716 0.432
0.507 0.507 0.015
0.841 0.488 0.329
0.168 0.168 0.719
0.488 0.841 0.329
0.551 0.551 0.719
0.012 0.012 0.025
```

---

The following is a DFT calculation (PBE-GGA) of crystalline Cu2GePb2O6 at its relaxed geometry.

Total magnetization   2.0 μB per formula unit
E   -5.46 eV per atom
Calculated volume   149.40 Å³ per cell
ΔE_f (raw)   -10.08 eV per formula unit

POSCAR file:
```
Cu2GePb2O6
1.0
-2.930 4.946 0.942
-5.818 0.041 -0.296
-3.176 0.564 5.172
O Cu Pb Ge
6 2 2 1
Direct
0.772 0.214 0.243
0.228 0.786 0.757
0.214 0.772 0.243
0.228 0.228 0.757
0.786 0.228 0.757
0.772 0.772 0.243
0.594 0.594 0.219
0.406 0.406 0.781
0.792 0.792 0.624
0.208 0.208 0.376
0.000 0.000 0.000
```

---

Q: What is the ΔE_f (raw) in the sixth record?
A: -17.70 eV per formula unit

---

Q: What is the formula in the sixth record?
A: PaCuGeO5

---

Q: total magnetization of number 2 (Cu2GeO)?
A: 0.0 μB per formula unit